Model one:
A plane-wave DFT calculation with GGA-PBE was carried out for a relaxed KTa3Ir crystal.

Geometry as extended XYZ:
```
5
Lattice="-0.358 4.387 -1.022 -3.411 -0.933 -2.813 -2.942 0.549 3.386" Properties=species:S:1:pos:R:3 pbc="T T T"
Ta -1.706 -0.467 -1.406
Ta -1.471 0.275 1.693
K 0.000 0.000 0.000
Ta -0.179 2.193 -0.511
Ir -3.355 2.001 -0.225
```

Results
**D(E_F)**: 6.444 states/eV/f.u.
**Spin magnetization**: 0.0 Bohr magnetons per cell



Model two:
A plane-wave DFT calculation with GGA-PBE was carried out for a relaxed KTa3Ir crystal.

Geometry as extended XYZ:
```
5
Lattice="5.000 0.000 0.000 0.000 5.000 0.000 0.000 0.000 5.000" Properties=species:S:1:pos:R:3 pbc="T T T"
K 2.500 2.500 2.500
Ta 2.500 0.000 0.000
Ta 0.000 2.500 0.000
Ir 0.000 0.000 0.000
Ta 0.000 0.000 2.500
```

Results
**D(E_F)**: 5.535 states/eV/f.u.
**Spin magnetization**: 0.0 Bohr magnetons per cell



model two ends up most stable, edging out the next structure by 1684 meV/atom.